[1]
SCAN Zr2AlMo, single point on PBEsol structure; D(E_F) = 2.576 states/eV/f.u.; mass density = 6.9 g/cm3; size of the total moment = 0.00 μB/f.u.; ΔE_f = -292 meV per atom
1.0
3.562 0.000 0.000
0.000 4.539 0.000
0.000 0.000 4.539
Mo Al Zr
1 1 2
Cartesian
1.781 0.000 0.000 Mo
1.781 2.270 2.270 Al
0.000 0.000 2.270 Zr
0.000 2.270 0.000 Zr


[2]
SCAN ZrAl3Mo, single point on PBEsol structure; D(E_F) = 2.409 states/eV/f.u.; mass density = 3.7 g/cm3; size of the total moment = 2.90 μB/f.u.; ΔE_f = 1478 meV per atom
1.0
-4.048 2.775 -0.397
-0.666 -0.273 4.871
2.724 4.058 0.600
Mo Al Zr
1 3 1
Cartesian
-0.995 3.280 2.537 Mo
-0.333 -0.137 2.436 Al
1.362 2.029 0.300 Al
-2.024 1.388 -0.199 Al
0.000 0.000 0.000 Zr


[3]
SCAN NaAl2ZnN, single point on PBEsol structure; D(E_F) = 1.405 states/eV/f.u.; mass density = 3.6 g/cm3; formation energy from raw total energies = -0.08 eV/atom; size of the total moment = 0.00 μB/f.u.
1.0
3.940 0.000 0.000
0.000 3.940 0.000
0.000 0.000 4.613
Na Zn Al N
1 1 2 1
Cartesian
0.000 0.000 2.306 Na
1.970 1.970 2.306 Zn
0.000 1.970 0.000 Al
1.970 0.000 0.000 Al
0.000 0.000 0.000 N


[4]
SCAN NbAlS2N, single point on PBEsol structure; D(E_F) = 2.878 states/eV/f.u.; mass density = 3.6 g/cm3; formation energy from raw total energies = -0.09 eV/atom; size of the total moment = 0.00 μB/f.u.
1.0
3.865 0.000 0.000
0.000 4.892 0.000
0.000 0.000 4.892
Nb N S Al
1 1 2 1
Cartesian
0.000 0.000 0.000 Nb
1.932 0.000 0.000 N
0.000 0.000 2.446 S
0.000 2.446 0.000 S
1.932 2.446 2.446 Al


What did the fourth record say?
SCAN NbAlS2N, single point on PBEsol structure; D(E_F) = 2.878 states/eV/f.u.; mass density = 3.6 g/cm3; formation energy from raw total energies = -0.09 eV/atom; size of the total moment = 0.00 μB/f.u.
1.0
3.865 0.000 0.000
0.000 4.892 0.000
0.000 0.000 4.892
Nb N S Al
1 1 2 1
Cartesian
0.000 0.000 0.000 Nb
1.932 0.000 0.000 N
0.000 0.000 2.446 S
0.000 2.446 0.000 S
1.932 2.446 2.446 Al